Entry 1:
Here is a geometry-optimized Ho5CdIr4 structure from Alexandria via LeMat-Bulk. Energies are from PBE-GGA.

Lattice parameters (Å, degrees): 3.4555 3.4555 17.6632 90.00 90.00 90.00
Site moments in Bohr magnetons follow the coordinates.
Element x y z (fractional)
Ho: 0.5000 0.5000 0.8786  0.00
Ho: 0.5000 0.5000 0.3096  -0.01
Ho: 0.5000 0.5000 0.5000  -0.01
Ho: 0.5000 0.5000 0.6904  -0.01
Ho: 0.5000 0.5000 0.1214  0.00
Ir: 0.0000 0.0000 0.4042  0.12
Ir: 0.0000 0.0000 0.7891  0.00
Ir: 0.0000 0.0000 0.5958  0.12
Ir: 0.0000 0.0000 0.2109  0.00
Cd: 0.0000 0.0000 0.0000  0.00

Summary:
**Energy relative to the elements**: -760.4 meV per atom
**Total moment**: 0.2 μB/f.u.



Entry 2:
Here is a geometry-optimized Sr3Zn11 structure from Alexandria via LeMat-Bulk. Energies are from PBE-GGA.

Lattice parameters (Å, degrees): 4.5104 8.5649 8.5649 66.11 74.73 74.73
Element x y z (fractional)
Zn: 0.8694 0.4172 0.8439
Zn: 0.1306 0.5828 0.1561
Zn: 0.1306 0.1561 0.5828
Zn: 0.6620 0.6926 0.9833
Zn: 0.6620 0.9833 0.6926
Zn: 0.5000 0.3050 0.6950
Zn: 0.8694 0.8439 0.4172
Zn: 0.3380 0.0167 0.3074
Zn: 0.0000 0.5000 0.5000
Zn: 0.3380 0.3074 0.0167
Zn: 0.5000 0.6950 0.3050
Sr: 0.7018 0.2982 0.2982
Sr: 0.0000 0.0000 0.0000
Sr: 0.2982 0.7018 0.7018

Summary:
**Energy relative to the elements**: -206.1 meV per atom
**Total moment**: 0.0 μB/f.u.



Entry 3:
Here is a geometry-optimized AcZnCd structure from Alexandria via LeMat-Bulk. Energies are from PBE-GGA.

Lattice parameters (Å, degrees): 4.7486 7.6835 7.6835 120.00 90.00 90.00
Element x y z (fractional)
Cd: 0.0000 0.0000 0.2365
Cd: 0.0000 0.7635 0.7635
Cd: 0.0000 0.2365 0.0000
Ac: 0.5000 0.0000 0.5793
Ac: 0.5000 0.4207 0.4207
Ac: 0.5000 0.5793 0.0000
Zn: 0.0000 0.3333 0.6667
Zn: 0.0000 0.6667 0.3333
Zn: 0.5000 0.0000 0.0000

Summary:
**Energy relative to the elements**: -300.9 meV per atom
**Total moment**: 0.0 μB/f.u.